Record 1
A plane-wave DFT calculation with PBE was carried out for crystalline SbAuI3 at its relaxed geometry.

```
SbAuI3
1.0
5.975 0.000 0.000
0.000 5.975 0.000
0.000 0.000 5.975
Sb Au I
1 1 3
Direct
0.000 0.000 0.000
0.500 0.500 0.500
0.000 0.000 0.500
0.000 0.500 0.000
0.500 0.000 0.000
```

- Space-group type: Pm-3m
- Raw total energy: -2.04 eV per atom
- Offset from the most stable computed form: 0.0 kJ/mol of atoms

Record 2
A plane-wave DFT calculation with PBE was carried out for crystalline Dy4BiS2 at its relaxed geometry.

```
Dy4BiS2
1.0
2.042 -6.494 0.000
2.042 6.494 0.000
0.000 0.000 13.327
Dy Bi S
8 2 4
Direct
0.000 0.000 0.000
0.000 0.000 0.500
0.261 0.739 0.614
0.261 0.739 0.886
0.430 0.570 0.250
0.570 0.430 0.750
0.739 0.261 0.114
0.739 0.261 0.386
0.110 0.890 0.250
0.890 0.110 0.750
0.368 0.632 0.058
0.368 0.632 0.442
0.632 0.368 0.558
0.632 0.368 0.942
```

- Space-group type: Cmcm
- Raw total energy: -5.76 eV per atom

Record 3
A plane-wave DFT calculation with PBE was carried out for crystalline Pm4YEr8 at its relaxed geometry.

```
Pm4YEr8
1.0
3.691 2.131 8.902
-3.691 2.131 8.902
0.000 -4.262 8.902
Pm Y Er
4 1 8
Direct
0.000 0.000 0.000
0.000 0.500 0.500
0.500 0.000 0.500
0.500 0.500 0.000
0.500 0.500 0.500
0.187 0.750 0.750
0.218 0.218 0.218
0.250 0.250 0.813
0.250 0.813 0.250
0.750 0.187 0.750
0.750 0.750 0.187
0.782 0.782 0.782
0.813 0.250 0.250
```

- Space-group type: R-3m
- Raw total energy: -4.55 eV per atom
- ΔE_f: 0.221 eV per atom

Record 4
A plane-wave DFT calculation with PBE was carried out for crystalline V3Ni2Rh3 at its relaxed geometry.

```
V3Ni2Rh3
1.0
-1.826 1.865 7.638
1.826 -1.865 7.638
1.826 1.865 -7.638
V Ni Rh
3 2 3
Direct
0.000 0.000 0.000
0.370 0.870 0.500
0.630 0.130 0.500
0.251 0.251 0.000
0.749 0.749 0.000
0.129 0.629 0.500
0.500 0.500 0.000
0.871 0.371 0.500
```

- Space-group type: Immm
- Raw total energy: -7.92 eV per atom
- Offset from the most stable computed form: 0.2 kJ/mol of atoms
- ΔE_f: -0.297 eV per atom

Record 5
A plane-wave DFT calculation with PBE was carried out for crystalline BaSr2Br at its relaxed geometry.

```
BaSr2Br
1.0
0.000 4.682 4.682
4.682 0.000 4.682
4.682 4.682 0.000
Ba Sr Br
1 2 1
Direct
0.000 0.000 0.000
0.500 0.500 0.500
0.750 0.750 0.750
0.250 0.250 0.250
```

- Space-group type: F-43m
- Raw total energy: -2.01 eV per atom
- Offset from the most stable computed form: 44.9 kJ/mol of atoms

Record 6
A plane-wave DFT calculation with PBE was carried out for crystalline Nb2ZnCd at its relaxed geometry.

```
Nb2ZnCd
1.0
0.000 3.296 3.296
3.296 0.000 3.296
3.296 3.296 0.000
Nb Zn Cd
2 1 1
Direct
0.250 0.250 0.250
0.750 0.750 0.750
0.000 0.000 0.000
0.500 0.500 0.500
```

- Space-group type: Fm-3m
- Raw total energy: -5.25 eV per atom
- Offset from the most stable computed form: 0.0 kJ/mol of atoms
- ΔE_f: 0.329 eV per atom

Record 7
A plane-wave DFT calculation with PBE was carried out for crystalline CsCuAsS3 at its relaxed geometry.

```
CsCuAsS3
1.0
3.414 -6.875 0.000
3.414 6.875 0.000
0.000 0.000 6.860
Cs Cu As S
2 2 2 6
Direct
0.240 0.760 0.750
0.760 0.240 0.250
0.479 0.521 0.250
0.521 0.479 0.750
0.052 0.948 0.250
0.948 0.052 0.750
0.209 0.791 0.250
0.275 0.275 0.000
0.275 0.275 0.500
0.725 0.725 0.000
0.725 0.725 0.500
0.791 0.209 0.750
```

- Space-group type: Cmcm
- Raw total energy: -4.10 eV per atom

Record 8
A plane-wave DFT calculation with PBE was carried out for crystalline ReSi2W at its relaxed geometry.

```
ReSi2W
1.0
1.450 0.837 8.030
-1.450 0.837 8.030
0.000 -1.674 8.030
Re Si W
1 2 1
Direct
0.000 0.000 0.000
0.254 0.254 0.254
0.507 0.507 0.507
0.756 0.756 0.756
```

- Space-group type: R3m
- Raw total energy: -9.05 eV per atom
- Offset from the most stable computed form: 30.3 kJ/mol of atoms

Record 9
A plane-wave DFT calculation with PBE was carried out for crystalline Ac8Co3Pd at its relaxed geometry.

```
Ac8Co3Pd
1.0
7.119 -4.324 0.000
7.119 4.324 0.000
-4.464 0.000 7.003
Ac Co Pd
8 3 1
Direct
0.227 0.752 0.748
0.244 0.244 0.255
0.248 0.248 0.727
0.248 0.773 0.252
0.752 0.227 0.748
0.752 0.752 0.273
0.756 0.756 0.745
0.773 0.248 0.252
0.000 0.000 0.000
0.000 0.500 0.500
0.500 0.000 0.500
0.500 0.500 0.000
```

- Space-group type: C2/m
- Raw total energy: -5.11 eV per atom
- ΔE_f: -0.161 eV per atom

Record 10
A plane-wave DFT calculation with PBE was carried out for crystalline TmMn2Al8 at its relaxed geometry.

```
TmMn2Al8
1.0
4.120 -5.218 0.000
4.120 5.218 0.000
-1.043 0.000 4.532
Tm Mn Al
1 2 8
Direct
0.000 0.000 0.000
0.291 0.709 0.500
0.709 0.291 0.500
0.091 0.351 0.599
0.283 0.717 0.000
0.351 0.091 0.599
0.388 0.388 0.235
0.612 0.612 0.765
0.649 0.909 0.401
0.717 0.283 0.000
0.909 0.649 0.401
```

- Space-group type: C2/m
- Raw total energy: -4.86 eV per atom
- ΔE_f: -0.068 eV per atom

Record 11
A plane-wave DFT calculation with PBE was carried out for crystalline Rb4Tl3GeBr8 at its relaxed geometry.

```
Rb4Tl3GeBr8
1.0
8.406 -4.749 0.000
8.406 4.749 0.000
-5.033 0.000 8.086
Rb Tl Ge Br
4 3 1 8
Direct
0.000 0.000 0.000
0.000 0.500 0.500
0.500 0.000 0.500
0.500 0.500 0.000
0.000 0.000 0.500
0.000 0.500 0.000
0.500 0.000 0.000
0.500 0.500 0.500
0.227 0.227 0.221
0.247 0.247 0.752
0.272 0.719 0.276
0.281 0.728 0.724
0.719 0.272 0.276
0.728 0.281 0.724
0.753 0.753 0.248
0.773 0.773 0.779
```

- Space-group type: C2/m
- Raw total energy: -2.95 eV per atom

Record 12
A plane-wave DFT calculation with PBE was carried out for crystalline Pm4SmSn5 at its relaxed geometry.

```
Pm4SmSn5
1.0
3.522 0.000 0.000
0.000 3.522 0.000
0.000 0.000 22.608
Pm Sm Sn
4 1 5
Direct
0.000 0.000 0.100
0.000 0.000 0.300
0.000 0.000 0.700
0.000 0.000 0.900
0.000 0.000 0.500
0.500 0.500 0.000
0.500 0.500 0.200
0.500 0.500 0.401
0.500 0.500 0.599
0.500 0.500 0.800
```

- Space-group type: P4/mmm
- Raw total energy: -5.05 eV per atom
- ΔE_f: -0.677 eV per atom

Question: What is the raw total energy in the third record?
Answer: -4.55 eV per atom